The following is a DFT calculation (PBE) of AlGaNi2 after structural relaxation.

The calculation puts the formation energy at 259 meV/atom. The calculated total energy is -17.30 eV per formula unit.

It has space group Immm (No. 71), with a = 2.654 Å, b = 4.507 Å, c = 9.571 Å, α = 90.00°, β = 90.00° and γ = 90.00°. Symmetry generates all atoms from Al at (0.000, 0.000, 0.000), Ga at (0.000, 0.000, 0.500) and Ni at (0.000, 0.000, 0.249).